# 1
{
  "formula": "CrCu2Ir",
  "functional": "PBE",
  "state": "optimized geometry",
  "lattice": [[-1.3722, -1.0692, -2.3214], [-2.7233, -2.0076, 2.5345], [-2.5920, 3.4464, -0.0552]],
  "species": ["Ir", "Cu", "Cr", "Cu"],
  "frac_coords": [[0.5000, 0.0000, 0.5000], [0.0000, 0.0000, 0.0000], [0.0000, 0.5000, 0.5000], [0.5000, 0.5000, 0.0000]],
  "spacegroup": "No. 47",
  "e_tot_ev_per_atom": -6.4910,
  "dos_at_fermi_per_ev_cell": 5.27,
  "delta_e_f_ev_per_atom": 0.18
}

# 2
{
  "formula": "CeYLu4",
  "functional": "PBE",
  "state": "optimized geometry",
  "lattice": [[-1.5542, -5.2584, -3.5635], [4.3131, -4.8650, -0.7026], [-1.0471, -5.7478, 2.9379]],
  "species": ["Y", "Lu", "Lu", "Lu", "Lu", "Ce"],
  "frac_coords": [[0.0000, 0.0000, 0.0000], [0.6247, 0.1259, 0.6247], [0.1259, 0.6247, 0.6247], [0.6247, 0.6247, 0.1259], [0.6247, 0.6247, 0.6247], [0.2500, 0.2500, 0.2500]],
  "spacegroup": "No. 216",
  "e_tot_ev_per_atom": -4.7600,
  "dos_at_fermi_per_ev_cell": 19.20,
  "delta_e_f_ev_per_atom": 0.32
}

# 3
{
  "formula": "Y4CdRu",
  "functional": "PBE",
  "state": "optimized geometry",
  "lattice": [[0.0802, -6.0016, -1.0419], [-2.9954, -3.7782, 3.7235], [-5.0395, -2.8232, -1.9352]],
  "species": ["Y", "Y", "Cd", "Y", "Y", "Ru"],
  "frac_coords": [[0.8780, 0.3740, 0.3740], [0.3740, 0.3740, 0.8780], [0.7500, 0.7500, 0.7500], [0.3740, 0.8780, 0.3740], [0.3740, 0.3740, 0.3740], [0.0000, 0.0000, 0.0000]],
  "spacegroup": "No. 216",
  "e_tot_ev_per_atom": -5.3512,
  "dos_at_fermi_per_ev_cell": 5.61,
  "delta_e_f_ev_per_atom": 0.66
}

# 4
{
  "formula": "YTl2",
  "functional": "PBE",
  "state": "optimized geometry",
  "lattice": [[2.3957, 5.4051, 0.1190], [-2.3957, 5.4051, 0.1190], [0.0000, 1.7563, 6.4045]],
  "species": ["Y", "Tl", "Y", "Tl", "Tl", "Tl"],
  "frac_coords": [[0.9873, 0.9873, 0.5302], [0.6389, 0.6389, 0.7222], [0.2905, 0.2905, 0.9143], [0.3109, 0.3109, 0.4065], [0.9668, 0.9668, 0.0380], [0.6389, 0.6389, 0.2222]],
  "spacegroup": "No. 12",
  "e_tot_ev_per_atom": -3.9811,
  "dos_at_fermi_per_ev_cell": 4.31,
  "delta_e_f_ev_per_atom": -0.25
}

# 5
{
  "formula": "KMn2Zn",
  "functional": "PBE",
  "state": "optimized geometry",
  "lattice": [[4.6761, 0.0171, -0.0072], [3.7658, 2.7722, -0.0072], [0.6238, 0.2061, 7.1511]],
  "species": ["Mn", "Mn", "K", "Zn"],
  "frac_coords": [[0.9790, 0.9790, 0.1072], [0.5210, 0.5210, 0.3928], [0.7500, 0.7500, 0.7500], [0.2500, 0.2500, 0.2500]],
  "spacegroup": "No. 12",
  "e_tot_ev_per_atom": -4.5527,
  "dos_at_fermi_per_ev_cell": 3.13,
  "delta_e_f_ev_per_atom": 0.62
}

# 6
{
  "formula": "KY2AuS4",
  "functional": "PBE",
  "state": "optimized geometry",
  "lattice": [[4.0349, 0.0000, 0.0000], [-2.0175, 6.7823, 0.0000], [0.0000, 0.0000, 14.1456]],
  "species": ["S", "Y", "Au", "S", "Y", "S", "S", "Y", "S", "Au", "S", "S", "S", "Y", "K", "K"],
  "frac_coords": [[0.0000, 0.0000, 0.5000], [0.3686, 0.7372, 0.9331], [0.8415, 0.6829, 0.7500], [0.7364, 0.4728, 0.6028], [0.6314, 0.2628, 0.4331], [0.2636, 0.5272, 0.3972], [0.2636, 0.5272, 0.1028], [0.6314, 0.2628, 0.0669], [0.0000, 0.0000, 0.0000], [0.1585, 0.3171, 0.2500], [0.5513, 0.1026, 0.2500], [0.7364, 0.4728, 0.8972], [0.4487, 0.8974, 0.7500], [0.3686, 0.7372, 0.5669], [0.1202, 0.2405, 0.7500], [0.8798, 0.7595, 0.2500]],
  "spacegroup": "No. 63",
  "e_tot_ev_per_atom": -5.7728,
  "raw_formation_energy_ev_per_atom": -1.55
}

# 7
{
  "formula": "MgMnAlZn",
  "functional": "PBE",
  "state": "optimized geometry",
  "lattice": [[4.4526, 0.0000, 0.0000], [2.2263, 3.8561, 0.0000], [2.2263, 1.2854, 3.6355]],
  "species": ["Mn", "Al", "Zn", "Mg"],
  "frac_coords": [[0.2500, 0.2500, 0.2500], [0.5000, 0.5000, 0.5000], [0.0000, 0.0000, 0.0000], [0.7500, 0.7500, 0.7500]],
  "spacegroup": "No. 216",
  "e_tot_ev_per_atom": -3.9078,
  "dos_at_fermi_per_ev_cell": 2.24,
  "delta_e_f_ev_per_atom": 0.04
}